Ta2Zn4O9: optimized geometry, PBE.

abc: 5.227 9.080 14.513
angles: 90.00 90.00 90.00
Fractional coordinates of all 60 atoms:
1 Zn 0.497 0.835 0.201
2 Zn 0.503 0.837 0.498
3 Zn 0.003 0.335 0.799
4 Zn 0.503 0.163 0.002
5 Zn 0.997 0.335 0.299
6 Zn 0.003 0.337 0.002
7 Zn 0.497 0.837 0.998
8 Zn 0.997 0.337 0.502
9 Zn 0.497 0.165 0.299
10 Zn 0.003 0.665 0.701
11 Zn 0.997 0.665 0.201
12 Zn 0.003 0.663 0.498
13 Zn 0.503 0.165 0.799
14 Zn 0.503 0.835 0.701
15 Zn 0.997 0.663 0.998
16 Zn 0.497 0.163 0.502
17 O 0.856 0.143 0.250
18 O 0.656 0.333 0.073
19 O 0.844 0.833 0.927
20 O 0.173 0.507 0.085
21 O 0.327 0.993 0.585
22 O 0.219 0.500 0.750
23 O 0.644 0.643 0.750
24 O 0.356 0.643 0.250
25 O 0.676 0.659 0.096
26 O 0.719 0.000 0.750
27 O 0.324 0.659 0.596
28 O 0.176 0.841 0.096
29 O 0.327 0.007 0.915
30 O 0.673 0.993 0.085
31 O 0.781 0.500 0.250
32 O 0.173 0.493 0.415
33 O 0.644 0.357 0.750
34 O 0.844 0.167 0.573
35 O 0.176 0.159 0.404
36 O 0.827 0.493 0.915
37 O 0.144 0.143 0.750
38 O 0.673 0.007 0.415
39 O 0.676 0.341 0.404
40 O 0.156 0.167 0.073
41 O 0.824 0.159 0.904
42 O 0.827 0.507 0.585
43 O 0.156 0.833 0.427
44 O 0.324 0.341 0.904
45 O 0.856 0.857 0.250
46 O 0.281 0.000 0.250
47 O 0.344 0.667 0.927
48 O 0.824 0.841 0.596
49 O 0.344 0.333 0.573
50 O 0.356 0.357 0.250
51 O 0.144 0.857 0.750
52 O 0.656 0.667 0.427
53 Ta 0.001 0.982 0.858
54 Ta 0.999 0.982 0.358
55 Ta 0.501 0.518 0.858
56 Ta 0.001 0.018 0.642
57 Ta 0.499 0.482 0.142
58 Ta 0.501 0.482 0.642
59 Ta 0.999 0.018 0.142
60 Ta 0.499 0.518 0.358

Computed properties:
N(E_F) = 0.0 states/eV per cell
Space group = No. 60


TaZnO3: optimized geometry, PBE.

abc: 3.755 3.755 3.755
angles: 90.00 90.00 90.00
Last column: magnetic moment on the atom in μB.
Fractional coordinates of all 5 atoms:
1 Ta 0.500 0.500 0.500  1.03
2 O 0.500 0.000 0.000  -0.06
3 O 0.000 0.000 0.500  -0.04
4 O 0.000 0.500 0.000  -0.07
5 Zn 0.000 0.000 0.000  -0.03

Computed properties:
N(E_F) = 4.3 states/eV per cell
Space group = No. 221


TaZn3O: optimized geometry, PBE.

abc: 4.204 4.204 4.204
angles: 90.00 90.00 90.00
Last column: magnetic moment on the atom in μB.
Fractional coordinates of all 5 atoms:
1 Zn 0.000 0.000 0.500  0.04
2 Zn 0.000 0.500 0.000  0.09
3 Zn 0.500 0.000 0.000  0.06
4 O 0.000 0.000 0.000  0.35
5 Ta 0.500 0.500 0.500  0.97

Computed properties:
N(E_F) = 2.9 states/eV per cell
Space group = No. 221


Ta2ZnO6: optimized geometry, PBE.

abc: 4.617 8.805 8.805
angles: 120.00 90.00 90.00
Fractional coordinates of all 27 atoms:
1 O 0.762 0.234 0.112
2 O 0.744 0.219 0.790
3 O 0.260 0.443 0.541
4 O 0.740 0.902 0.459
5 O 0.744 0.210 0.429
6 O 0.762 0.879 0.766
7 O 0.744 0.571 0.781
8 O 0.256 0.790 0.219
9 O 0.256 0.429 0.210
10 O 0.238 0.112 0.234
11 O 0.260 0.098 0.557
12 O 0.238 0.766 0.879
13 O 0.740 0.541 0.443
14 O 0.256 0.781 0.571
15 O 0.260 0.459 0.902
16 O 0.238 0.121 0.888
17 O 0.740 0.557 0.098
18 O 0.762 0.888 0.121
19 Ta 0.500 0.696 0.000
20 Ta 0.500 0.304 0.304
21 Ta 0.500 0.000 0.696
22 Ta 0.000 0.000 0.361
23 Ta 0.000 0.639 0.639
24 Ta 0.000 0.361 0.000
25 Zn 0.510 0.333 0.667
26 Zn 0.490 0.667 0.333
27 Zn 0.000 0.000 0.000

Computed properties:
N(E_F) = 0.0 states/eV per cell
Space group = No. 150


Number 1: uncorrected energy -6.9382 eV per atom. Number 2: uncorrected energy -6.0627 eV per atom. Number 3: uncorrected energy -3.8600 eV per atom. Number 4: uncorrected energy -8.5873 eV per atom.